Record 1
VASP calculation (PBE-GGA) on a relaxed structure of Tm2Hf2S7.

The space group is Imm2 (No. 44) and the conventional cell measures 3.7214, 13.8561 and 8.1931 Å, with angles of 90.00, 90.00 and 90.00 degrees. Symmetry generates all atoms from Tm at (0.0000, 0.0000, 0.0000), Tm at (0.0000, 0.5000, 0.0317), Hf at (0.0000, 0.2555, 0.7989), S at (0.0000, 0.1482, 0.4923), S at (0.0000, 0.1865, 0.1056), S at (0.0000, 0.3865, 0.3140) and S at (0.0000, 0.5000, 0.7231).

The calculation puts the raw total energy at -6.89 eV per atom. The value obtained for the energy relative to the elements, uncorrected is -1.645 eV/atom. As for the calculated volume: 19.2 Å³/atom.


Record 2
VASP calculation (PBE-GGA) on a relaxed structure of HfU3S6.

The space group is R-3 (No. 148, hexagonal axes) and the conventional cell measures 11.8136, 11.8136 and 11.1121 Å, with angles of 90.00, 90.00 and 120.00 degrees. Symmetry generates all atoms from Hf at (0.0000, 0.0000, 0.0000), Hf at (0.0000, 0.0000, 0.5000), U at (0.0487, 0.7680, 0.1483), S at (0.0315, 0.8260, 0.8920) and S at (0.0541, 0.8531, 0.3799).

The calculation puts the raw total energy at -8.23 eV per atom. The value obtained for the energy relative to the elements, uncorrected is -1.375 eV/atom. As for the calculated volume: 22.4 Å³/atom.


Record 3
VASP calculation (PBE-GGA) on a relaxed structure of HfU3S4.

The space group is P2/c (No. 13) and the conventional cell measures 6.8017, 7.4904 and 6.4444 Å, with angles of 90.00, 108.73 and 90.00 degrees. Symmetry generates all atoms from Hf at (0.0000, 0.1326, 0.2500), U at (0.0000, 0.3781, 0.7500), U at (0.5000, 0.1234, 0.7500), U at (0.5000, 0.3735, 0.2500), S at (0.2336, 0.1180, 0.9967) and S at (0.2451, 0.3687, 0.4959).

The calculation puts the raw total energy at -8.89 eV per atom. The value obtained for the energy relative to the elements, uncorrected is -1.350 eV/atom. As for the calculated volume: 19.4 Å³/atom.